[1]
# Pd

A geometry-optimized Pd structure (PBE-GGA, OQMD via LeMat-Bulk).

* E_form: 2.56 eV/atom
* E_tot: -2.620 eV/atom
* E above lowest polymorph: 2556 meV/atom
* SG: P6_3/mmc

Cell lengths 3.6930, 3.6930, 5.0842 Å; angles 90.00, 90.00, 120.00 degrees
Fractional positions:
1 Pd 0.0000 0.0000 0.2500
2 Pd 0.0000 0.0000 0.7500
3 Pd 0.3333 0.6667 0.2500
4 Pd 0.6667 0.3333 0.7500

---

[2]
# NdDyTe6

A geometry-optimized NdDyTe6 structure (PBE-GGA, OQMD via LeMat-Bulk).

* E_tot: -4.481 eV/atom
* SG: Amm2
* spin magnetization: 0.0 μB/cell

Cell lengths 4.3566, 4.3553, 26.6850 Å; angles 90.00, 90.00, 90.00 degrees
Fractional positions:
1 Nd 0.0000 0.0000 0.0000
2 Nd 0.0000 0.5000 0.5000
3 Dy 0.5000 0.0000 0.3419
4 Dy 0.5000 0.5000 0.8419
5 Te 0.0000 0.0000 0.2478
6 Te 0.0000 0.0000 0.5967
7 Te 0.0000 0.0000 0.8759
8 Te 0.0000 0.5000 0.0967
9 Te 0.0000 0.5000 0.3759
10 Te 0.0000 0.5000 0.7478
11 Te 0.5000 0.0000 0.0967
12 Te 0.5000 0.0000 0.4623
13 Te 0.5000 0.0000 0.7478
14 Te 0.5000 0.5000 0.2478
15 Te 0.5000 0.5000 0.5967
16 Te 0.5000 0.5000 0.9623

---

[3]
# SrSbAu

A geometry-optimized SrSbAu structure (PBE-GGA, OQMD via LeMat-Bulk).

* E_tot: -3.421 eV/atom
* SG: P6_3/mmc

Cell lengths 5.4348, 5.4348, 6.4978 Å; angles 90.00, 90.00, 120.00 degrees
Fractional positions:
1 Sr 0.3333 0.6667 0.2500
2 Sr 0.6667 0.3333 0.7500
3 Sb 0.3333 0.6667 0.7500
4 Sb 0.6667 0.3333 0.2500
5 Au 0.0000 0.0000 0.0000
6 Au 0.0000 0.0000 0.5000